A plane-wave DFT calculation with PBE was carried out for crystalline YZrOF2 at its relaxed geometry.

```
data_YZrOF2
_cell_length_a 4.389
_cell_length_b 4.389
_cell_length_c 4.496
_cell_angle_alpha 90.00
_cell_angle_beta 90.00
_cell_angle_gamma 90.00
_space_group_name_H-M_alt 'P 4/m m m'
_space_group_IT_number 123
_space_group_name_Hall '-P 4 2'
loop_
_atom_site_label
_atom_site_type_symbol
_atom_site_fract_x
_atom_site_fract_y
_atom_site_fract_z
_atom_site_occupancy
Y1 Y 0.000 0.000 0.000 1
Zr1 Zr 0.500 0.500 0.500 1
O1 O 0.000 0.000 0.500 1
F1 F 0.000 0.500 0.000 1
```

Properties
E above lowest polymorph	50	meV/atom



A plane-wave DFT calculation with PBE was carried out for crystalline YZrOF2 at its relaxed geometry.

```
data_YZrOF2
_cell_length_a 4.446
_cell_length_b 4.446
_cell_length_c 4.183
_cell_angle_alpha 90.00
_cell_angle_beta 90.00
_cell_angle_gamma 90.00
_space_group_name_H-M_alt 'P 4/m m m'
_space_group_IT_number 123
_space_group_name_Hall '-P 4 2'
loop_
_atom_site_label
_atom_site_type_symbol
_atom_site_fract_x
_atom_site_fract_y
_atom_site_fract_z
_atom_site_occupancy
Y1 Y 0.000 0.000 0.000 1
Zr1 Zr 0.500 0.500 0.500 1
O1 O 0.500 0.500 0.000 1
F1 F 0.000 0.500 0.500 1
```

Properties
E above lowest polymorph	0	meV/atom



A plane-wave DFT calculation with PBE was carried out for crystalline Zn2O3F at its relaxed geometry.

```
data_Zn2O3F
_cell_length_a 3.096
_cell_length_b 4.794
_cell_length_c 10.198
_cell_angle_alpha 90.00
_cell_angle_beta 90.00
_cell_angle_gamma 90.00
_space_group_name_H-M_alt 'P m c 21'
_space_group_IT_number 26
loop_
_space_group_symop_operation_xyz
'x,y,z'
'-x,-y,z+1/2'
'-x,y,z'
'x,-y,z+1/2'
loop_
_atom_site_label
_atom_site_type_symbol
_atom_site_fract_x
_atom_site_fract_y
_atom_site_fract_z
_atom_site_occupancy
Zn1 Zn 0.000 0.174 0.000 1
Zn2 Zn 0.500 0.277 0.718 1
O1 O 0.000 0.061 0.803 1
O2 O 0.500 0.052 0.560 1
O3 O 0.500 0.391 0.909 1
F1 F 0.000 0.461 0.154 1
```



For the records above, the corresponding ΔE_f (raw) values read -2.13 -2.18 -0.76 eV per atom.